(1)
Compound: NdZn5Ag2
Source: the Alexandria database
Functional: GGA-PBE
Structure: relaxed

abc: 4.068 7.165 10.415
angles: 90.00 90.00 90.00
Fractional positions:
Nd1 0.000 0.000 0.000
Nd2 0.500 0.500 0.500
Zn1 0.000 0.188 0.373
Zn2 0.000 0.188 0.627
Zn3 0.000 0.500 0.000
Zn4 0.000 0.812 0.373
Zn5 0.000 0.812 0.627
Zn6 0.500 0.000 0.500
Zn7 0.500 0.312 0.127
Zn8 0.500 0.312 0.873
Zn9 0.500 0.688 0.127
Zn10 0.500 0.688 0.873
Ag1 0.000 0.500 0.250
Ag2 0.000 0.500 0.750
Ag3 0.500 0.000 0.250
Ag4 0.500 0.000 0.750

Computed properties:
energy	-2.2600	eV/atom
mass density	7.5	g/cm³
formation energy from the elements	-0.15	eV per atom



(2)
Compound: NdZn4Ag
Source: the Alexandria database
Functional: GGA-PBE
Structure: relaxed

abc: 8.490 8.490 6.733
angles: 90.00 90.00 151.57
Fractional positions:
Nd1 0.115 0.885 0.750
Nd2 0.885 0.115 0.250
Zn1 0.071 0.929 0.250
Zn2 0.336 0.664 0.559
Zn3 0.336 0.664 0.941
Zn4 0.500 0.500 0.000
Zn5 0.500 0.500 0.500
Zn6 0.664 0.336 0.059
Zn7 0.664 0.336 0.441
Zn8 0.929 0.071 0.750
Ag1 0.235 0.765 0.250
Ag2 0.765 0.235 0.750

Computed properties:
energy	-2.3094	eV/atom
polymorph energy (0 for the lowest one)	0.00	eV per formula unit
mass density	7.4	g/cm³
formation energy from the elements	-0.19	eV per atom



(3)
Compound: Nd3Zn6Ag5
Source: the Alexandria database
Functional: GGA-PBE
Structure: relaxed

abc: 8.501 8.501 8.501
angles: 149.35 112.30 76.13
Fractional positions:
Nd1 0.000 0.000 0.000
Nd2 0.299 0.299 0.000
Nd3 0.701 0.701 0.000
Zn1 0.158 0.870 0.288
Zn2 0.312 0.500 0.812
Zn3 0.418 0.130 0.288
Zn4 0.582 0.870 0.712
Zn5 0.688 0.500 0.188
Zn6 0.842 0.130 0.712
Ag1 0.016 0.664 0.352
Ag2 0.312 0.664 0.648
Ag3 0.500 0.000 0.500
Ag4 0.688 0.336 0.352
Ag5 0.984 0.336 0.648

Computed properties:
energy	-2.8465	eV/atom
mass density	8.0	g/cm³
formation energy from the elements	-0.26	eV per atom



(4)
Compound: Nd4ZnAg
Source: the Alexandria database
Functional: GGA-PBE
Structure: relaxed

abc: 5.107 5.107 7.361
angles: 90.00 90.00 90.00
Fractional positions:
Nd1 0.000 0.500 0.241
Nd2 0.000 0.500 0.759
Nd3 0.500 0.000 0.241
Nd4 0.500 0.000 0.759
Zn1 0.000 0.000 0.000
Ag1 0.500 0.500 0.500

Computed properties:
energy	-3.8107	eV/atom
polymorph energy (0 for the lowest one)	1.34	eV per formula unit
mass density	6.5	g/cm³
formation energy from the elements	0.06	eV per atom



(5)
Compound: NdZn4Ag2
Source: the Alexandria database
Functional: GGA-PBE
Structure: relaxed

abc: 7.667 7.667 5.660
angles: 90.00 90.00 90.00
Fractional positions:
Nd1 0.000 0.000 0.000
Nd2 0.500 0.500 0.500
Zn1 0.000 0.228 0.500
Zn2 0.000 0.772 0.500
Zn3 0.228 0.000 0.500
Zn4 0.272 0.500 0.000
Zn5 0.500 0.272 0.000
Zn6 0.500 0.728 0.000
Zn7 0.728 0.500 0.000
Zn8 0.772 0.000 0.500
Ag1 0.000 0.500 0.250
Ag2 0.000 0.500 0.750
Ag3 0.500 0.000 0.250
Ag4 0.500 0.000 0.750

Computed properties:
energy	-2.0446	eV/atom
polymorph energy (0 for the lowest one)	2.78	eV per formula unit
mass density	6.2	g/cm³
formation energy from the elements	0.18	eV per atom



(6)
Compound: NdZn2Ag
Source: the Alexandria database
Functional: GGA-PBE
Structure: relaxed

abc: 3.404 3.404 7.036
angles: 90.00 90.00 90.00
Fractional positions:
Nd1 0.000 0.000 0.000
Zn1 0.500 0.500 0.296
Zn2 0.500 0.500 0.704
Ag1 0.000 0.000 0.500

Computed properties:
energy	-2.6952	eV/atom
mass density	7.8	g/cm³
formation energy from the elements	-0.15	eV per atom



(7)
Compound: NdZnAg4
Source: the Alexandria database
Functional: GGA-PBE
Structure: relaxed

abc: 5.586 5.586 5.586
angles: 60.00 60.00 60.00
Fractional positions:
Nd1 0.000 0.000 0.000
Zn1 0.750 0.750 0.750
Ag1 0.376 0.376 0.376
Ag2 0.376 0.376 0.873
Ag3 0.376 0.873 0.376
Ag4 0.873 0.376 0.376

Computed properties:
energy	-3.0269	eV/atom
polymorph energy (0 for the lowest one)	0.06	eV per formula unit
mass density	8.6	g/cm³
formation energy from the elements	-0.12	eV per atom



(8)
Compound: Nd3Zn2Ag3
Source: the Alexandria database
Functional: GGA-PBE
Structure: relaxed

abc: 5.869 5.869 15.198
angles: 90.00 90.00 133.07
Fractional positions:
Nd1 0.091 0.909 0.604
Nd2 0.091 0.909 0.896
Nd3 0.373 0.627 0.750
Nd4 0.627 0.373 0.250
Nd5 0.909 0.091 0.104
Nd6 0.909 0.091 0.396
Zn1 0.204 0.796 0.100
Zn2 0.204 0.796 0.400
Zn3 0.796 0.204 0.600
Zn4 0.796 0.204 0.900
Ag1 0.338 0.662 0.250
Ag2 0.382 0.618 0.542
Ag3 0.382 0.618 0.958
Ag4 0.618 0.382 0.042
Ag5 0.618 0.382 0.458
Ag6 0.662 0.338 0.750

Computed properties:
energy	-3.4585	eV/atom
polymorph energy (0 for the lowest one)	0.00	eV per formula unit
mass density	7.7	g/cm³
formation energy from the elements	-0.28	eV per atom



Question: Look up the energy of the eighth one.
Answer: -3.4585 eV/atom



Question: formation energy from the elements of number 2 (NdZn4Ag)?
Answer: -0.19 eV per atom



Question: Look up the mass density of the sixth one.
Answer: 7.8 g/cm³